1.
The following is a DFT calculation (PBE) of a geometry-optimized ZrHg structure.

Its density is 11.152 g cm⁻³.

The structure in CIF format:
```
data_ZrHg
_chemical_formula_sum 'Zr8 Hg8'
_space_group_name_H-M_alt 'P 1'
_space_group_IT_number 1
_space_group_name_Hall 'P 1'
_cell_length_a 5.144
_cell_length_b 6.207
_cell_length_c 10.888
_cell_angle_alpha 90.00
_cell_angle_beta 90.00
_cell_angle_gamma 90.00
loop_
_atom_site_label
_atom_site_type_symbol
_atom_site_fract_x
_atom_site_fract_y
_atom_site_fract_z
Zr1 Zr 0.250 0.005 0.076
Zr2 Zr 0.250 0.250 0.338
Zr3 Zr 0.250 0.250 0.821
Zr4 Zr 0.250 0.495 0.076
Zr5 Zr 0.750 0.505 0.924
Zr6 Zr 0.750 0.750 0.179
Zr7 Zr 0.750 0.750 0.662
Zr8 Zr 0.750 0.995 0.924
Hg1 Hg 0.250 0.505 0.581
Hg2 Hg 0.250 0.750 0.324
Hg3 Hg 0.250 0.750 0.833
Hg4 Hg 0.250 0.995 0.581
Hg5 Hg 0.750 0.005 0.419
Hg6 Hg 0.750 0.250 0.167
Hg7 Hg 0.750 0.250 0.676
Hg8 Hg 0.750 0.495 0.419
```

***

2.
The following is a DFT calculation (PBE) of a geometry-optimized ZrHg structure.

Its density is 11.136 g cm⁻³.

The structure in CIF format:
```
data_ZrHg
_chemical_formula_sum 'Zr5 Hg5'
_space_group_name_H-M_alt 'P 1'
_space_group_IT_number 1
_space_group_name_Hall 'P 1'
_cell_length_a 5.168
_cell_length_b 8.262
_cell_length_c 8.262
_cell_angle_alpha 141.93
_cell_angle_beta 90.00
_cell_angle_gamma 90.00
loop_
_atom_site_label
_atom_site_type_symbol
_atom_site_fract_x
_atom_site_fract_y
_atom_site_fract_z
Zr1 Zr 0.000 0.000 0.000
Zr2 Zr 0.000 0.402 0.598
Zr3 Zr 0.000 0.598 0.402
Zr4 Zr 0.500 0.788 0.985
Zr5 Zr 0.500 0.985 0.788
Hg1 Hg 0.000 0.201 0.805
Hg2 Hg 0.000 0.805 0.201
Hg3 Hg 0.500 0.198 0.598
Hg4 Hg 0.500 0.374 0.374
Hg5 Hg 0.500 0.598 0.198
```

***

3.
The following is a DFT calculation (PBE) of a geometry-optimized ZrHg structure.

Its density is 9.994 g cm⁻³.

The structure in CIF format:
```
data_ZrHg
_chemical_formula_sum 'Zr1 Hg1'
_space_group_name_H-M_alt 'P 1'
_space_group_IT_number 1
_space_group_name_Hall 'P 1'
_cell_length_a 4.093
_cell_length_b 4.093
_cell_length_c 4.093
_cell_angle_alpha 60.00
_cell_angle_beta 60.00
_cell_angle_gamma 60.00
loop_
_atom_site_label
_atom_site_type_symbol
_atom_site_fract_x
_atom_site_fract_y
_atom_site_fract_z
Zr1 Zr 0.000 0.000 0.000
Hg1 Hg 0.500 0.500 0.500
```

***

4.
The following is a DFT calculation (PBE) of a geometry-optimized ZrHg structure.

Its density is 10.800 g cm⁻³.

The structure in CIF format:
```
data_ZrHg
_chemical_formula_sum 'Zr8 Hg8'
_space_group_name_H-M_alt 'P 1'
_space_group_IT_number 1
_space_group_name_Hall 'P 1'
_cell_length_a 5.079
_cell_length_b 12.819
_cell_length_c 5.513
_cell_angle_alpha 90.00
_cell_angle_beta 90.00
_cell_angle_gamma 90.00
loop_
_atom_site_label
_atom_site_type_symbol
_atom_site_fract_x
_atom_site_fract_y
_atom_site_fract_z
Zr1 Zr 0.250 0.000 0.147
Zr2 Zr 0.250 0.130 0.695
Zr3 Zr 0.250 0.370 0.695
Zr4 Zr 0.250 0.500 0.147
Zr5 Zr 0.750 0.000 0.853
Zr6 Zr 0.750 0.500 0.853
Zr7 Zr 0.750 0.630 0.305
Zr8 Zr 0.750 0.870 0.305
Hg1 Hg 0.250 0.250 0.196
Hg2 Hg 0.250 0.607 0.643
Hg3 Hg 0.250 0.750 0.175
Hg4 Hg 0.250 0.893 0.643
Hg5 Hg 0.750 0.107 0.357
Hg6 Hg 0.750 0.250 0.825
Hg7 Hg 0.750 0.393 0.357
Hg8 Hg 0.750 0.750 0.804
```

***

We obtain DFT formation energy values of -0.07, -0.03, 0.24, 0.03 eV/atom for the records listed above, in that order.
We obtain calculated total energy values of -71.836, -44.559, -8.373, -70.236 eV per cell for the records listed above, in that order.